# 1
Here is Sm2Y2CI2Br2Cl after structural relaxation from the Open Quantum Materials Database. Energies are from PBE.

```
10
Lattice="-1.877 7.624 -5.411 -4.920 7.591 -3.016 4.577 3.269 5.859" Properties=species:S:1:pos:R:3 pbc="T T T"
Br 0.536 3.464 0.728
Br -2.756 15.020 -3.296
C -3.399 7.607 -4.213
Cl -1.110 9.242 -1.284
I -4.718 13.270 -5.813
I 2.498 5.214 3.245
Sm -3.988 9.902 -4.930
Sm 1.768 8.582 2.362
Y -5.850 15.856 -7.215
Y 3.630 2.628 4.647
```

Computed properties:
Crystal system   monoclinic
Offset from the most stable computed form   11.4 meV/atom
Calculated volume   28.756 A^3/atom

=====

# 2
Here is Sm2Y2CI2Br2Cl after structural relaxation from the Open Quantum Materials Database. Energies are from PBE.

```
10
Lattice="9.284 -1.952 0.000 9.284 1.952 0.000 -1.567 0.000 8.007" Properties=species:S:1:pos:R:3 pbc="T T T"
Br 15.147 0.000 1.323
Br 1.855 0.000 6.684
C 9.284 0.000 0.000
Cl 8.501 0.000 4.003
I 2.525 0.000 2.848
I 14.478 0.000 5.159
Sm 18.174 0.000 1.672
Sm -1.172 0.000 6.335
Y 11.638 0.000 0.527
Y 5.364 0.000 7.480
```

Computed properties:
Crystal system   monoclinic
Offset from the most stable computed form   9.7 meV/atom
Calculated volume   29.024 A^3/atom